A plane-wave DFT calculation with PBE was carried out for CdAg2As2 after structural relaxation.

calculated total energy	-3.002	eV/atom
symmetry	Cmc2_1, No. 36
ρ	7.18	Mg/m³

a = 8.494 Å, b = 8.494 Å, c = 6.848 Å
α = 90.00°, β = 90.00°, γ = 153.42°
Atoms (fractional coordinates):
Ag 0.309 0.691 0.386
Ag 0.691 0.309 0.886
Ag 0.593 0.407 0.231
Ag 0.407 0.593 0.731
Cd 0.914 0.086 0.058
Cd 0.086 0.914 0.558
As 0.291 0.709 0.000
As 0.709 0.291 0.500
As 0.074 0.926 0.959
As 0.926 0.074 0.459


A plane-wave DFT calculation with PBE was carried out for CdCoAgAs after structural relaxation.

calculated total energy	-3.533	eV/atom
symmetry	F-43m, No. 216
ρ	8.85	Mg/m³

a = 4.547 Å, b = 4.547 Å, c = 4.547 Å
α = 60.00°, β = 60.00°, γ = 60.00°
Atoms (fractional coordinates):
Co 0.750 0.750 0.750
Cd 0.500 0.500 0.500
As 0.000 0.000 0.000
Ag 0.250 0.250 0.250


A plane-wave DFT calculation with PBE was carried out for CdCuAgAs after structural relaxation.

calculated total energy	-2.823	eV/atom
symmetry	F-43m, No. 216
ρ	8.30	Mg/m³

a = 4.664 Å, b = 4.664 Å, c = 4.664 Å
α = 60.00°, β = 60.00°, γ = 60.00°
Atoms (fractional coordinates):
Cu 0.750 0.750 0.750
As 0.000 0.000 0.000
Ag 0.250 0.250 0.250
Cd 0.500 0.500 0.500


A plane-wave DFT calculation with PBE was carried out for CdAgAsO after structural relaxation.

calculated total energy	-3.428	eV/atom
symmetry	P4/nmm, No. 129
ρ	7.08	Mg/m³

a = 4.270 Å, b = 4.270 Å, c = 8.007 Å
α = 90.00°, β = 90.00°, γ = 90.00°
Atoms (fractional coordinates):
Cd 0.250 0.250 0.093
Cd 0.750 0.750 0.907
O 0.750 0.250 0.000
O 0.250 0.750 0.000
As 0.250 0.250 0.689
As 0.750 0.750 0.311
Ag 0.750 0.250 0.500
Ag 0.250 0.750 0.500


A plane-wave DFT calculation with PBE was carried out for CdAgAsO after structural relaxation.

calculated total energy	-3.583	eV/atom
symmetry	Pmc2_1, No. 26
ρ	7.73	Mg/m³

a = 3.221 Å, b = 7.035 Å, c = 5.902 Å
α = 90.00°, β = 90.00°, γ = 90.00°
Atoms (fractional coordinates):
O 0.000 0.006 0.321
O 0.000 0.994 0.821
Ag 0.000 0.266 0.573
Ag 0.000 0.734 0.073
As 0.500 0.490 0.298
As 0.500 0.510 0.798
Cd 0.500 0.868 0.562
Cd 0.500 0.132 0.062


A plane-wave DFT calculation with PBE was carried out for CdAgAsO after structural relaxation.

calculated total energy	-3.148	eV/atom
symmetry	P4/nmm, No. 129
ρ	6.55	Mg/m³

a = 4.382 Å, b = 4.382 Å, c = 8.225 Å
α = 90.00°, β = 90.00°, γ = 90.00°
Atoms (fractional coordinates):
As 0.750 0.750 0.304
As 0.250 0.250 0.696
Cd 0.750 0.250 0.500
Cd 0.250 0.750 0.500
Ag 0.250 0.250 0.032
Ag 0.750 0.750 0.968
O 0.750 0.250 0.000
O 0.250 0.750 0.000


A plane-wave DFT calculation with PBE was carried out for CdAgAsO after structural relaxation.

calculated total energy	-3.525	eV/atom
symmetry	Pmc2_1, No. 26
ρ	7.09	Mg/m³

a = 4.365 Å, b = 7.065 Å, c = 4.727 Å
α = 90.00°, β = 90.00°, γ = 90.00°
Atoms (fractional coordinates):
Cd 0.500 0.806 0.939
Cd 0.500 0.194 0.439
Ag 0.000 0.851 0.448
Ag 0.000 0.149 0.948
O 0.500 0.131 0.934
O 0.500 0.869 0.434
As 0.000 0.578 0.933
As 0.000 0.422 0.433


A plane-wave DFT calculation with PBE was carried out for Ag3As2Cl3 after structural relaxation.

calculated total energy	-2.867	eV/atom
symmetry	P-4m2, No. 115
ρ	4.30	Mg/m³

a = 4.029 Å, b = 4.029 Å, c = 13.799 Å
α = 90.00°, β = 90.00°, γ = 90.00°
Atoms (fractional coordinates):
Ag 0.500 0.500 0.000
Ag 0.000 0.000 0.500
Ag 0.500 0.500 0.500
As 0.500 0.000 0.372
As 0.000 0.500 0.628
Cl 0.000 0.000 0.000
Cl 0.000 0.000 0.256
Cl 0.000 0.000 0.744